{"formula": "BaCr2Fe", "functional": "GGA-PBE", "state": "relaxed", "cell": [[4.4682, 0.0000, 0.0000], [0.0000, 4.4682, 0.0000], [0.0000, 0.0000, 4.4720]], "species": ["Ba", "Cr", "Cr", "Fe"], "fractional_positions": [[0.0000, 0.0000, 0.0000], [0.0000, 0.5000, 0.5000], [0.5000, 0.0000, 0.5000], [0.5000, 0.5000, 0.0000]], "space_group": "P4/mmm (123)", "ef_ev_per_atom": 1.344, "volume_a3_per_atom": 22.3, "polymorph_energy_mev_per_atom": 729, "n_ef_per_ev_fu": 8.5}